(1)
{"formula": "LaPr3Dy5", "functional": "PBE", "state": "optimized geometry", "density_g_cm3": 6.720, "energy_ev_per_atom": -4.21, "lattice": [[7.7634, -5.7102, 0.0000], [7.7634, 5.7102, 0.0000], [-6.4507, 0.0000, 7.6593]], "species": ["La", "La", "Pr", "Pr", "Pr", "Pr", "Pr", "Pr", "Dy", "Dy", "Dy", "Dy", "Dy", "Dy", "Dy", "Dy", "Dy", "Dy"], "fractional_positions": [[0.2453, 0.2453, 0.0794], [0.7547, 0.7547, 0.9206], [0.0000, 0.0000, 0.0000], [0.0232, 0.0232, 0.6852], [0.4926, 0.4926, 0.7964], [0.5000, 0.5000, 0.5000], [0.5074, 0.5074, 0.2036], [0.9768, 0.9768, 0.3148], [0.0980, 0.6018, 0.4529], [0.2245, 0.2245, 0.4052], [0.2573, 0.7427, 0.0000], [0.2808, 0.2808, 0.7824], [0.3982, 0.9020, 0.5471], [0.6018, 0.0980, 0.4529], [0.7192, 0.7192, 0.2176], [0.7427, 0.2573, 0.0000], [0.7755, 0.7755, 0.5948], [0.9020, 0.3982, 0.5471]]}

***

(2)
{"formula": "La7PrDy2", "functional": "PBE", "state": "optimized geometry", "density_g_cm3": 5.566, "energy_ev_per_atom": -4.26, "lattice": [[4.5469, -8.0904, 0.0000], [4.5469, 8.0904, 0.0000], [0.0000, 0.0000, 5.8326]], "species": ["La", "La", "La", "La", "La", "La", "La", "Pr", "Dy", "Dy"], "fractional_positions": [[0.0000, 0.0000, 0.0000], [0.2011, 0.4339, 0.0000], [0.2607, 0.7393, 0.5000], [0.4339, 0.2011, 0.0000], [0.5661, 0.7989, 0.0000], [0.7393, 0.2607, 0.5000], [0.7989, 0.5661, 0.0000], [0.5000, 0.5000, 0.5000], [0.2029, 0.7971, 0.0000], [0.7971, 0.2029, 0.0000]]}

***

(3)
{"formula": "LaPr7Dy4", "functional": "PBE", "state": "optimized geometry", "density_g_cm3": 6.947, "energy_ev_per_atom": -4.54, "lattice": [[8.1542, -3.0440, 0.0000], [8.1542, 3.0440, 0.0000], [-4.3129, 0.0000, 8.5481]], "species": ["La", "Pr", "Pr", "Pr", "Pr", "Pr", "Pr", "Pr", "Dy", "Dy", "Dy", "Dy"], "fractional_positions": [[0.0000, 0.0000, 0.0000], [0.0868, 0.0868, 0.4528], [0.2124, 0.2124, 0.2377], [0.2158, 0.2158, 0.8844], [0.5000, 0.5000, 0.0000], [0.7842, 0.7842, 0.1156], [0.7876, 0.7876, 0.7623], [0.9132, 0.9132, 0.5472], [0.3309, 0.3309, 0.6180], [0.4296, 0.4296, 0.3026], [0.5704, 0.5704, 0.6974], [0.6691, 0.6691, 0.3820]]}

***

(4)
{"formula": "LaPrDy", "functional": "PBE", "state": "optimized geometry", "density_g_cm3": 6.979, "energy_ev_per_atom": -4.74, "lattice": [[3.6871, 0.0000, 0.0000], [0.0000, 3.6871, 0.0000], [0.0000, 0.0000, 15.4824]], "species": ["La", "La", "Pr", "Pr", "Dy", "Dy"], "fractional_positions": [[0.0000, 0.0000, 0.0000], [0.5000, 0.5000, 0.5000], [0.0000, 0.0000, 0.6720], [0.5000, 0.5000, 0.1720], [0.0000, 0.0000, 0.3348], [0.5000, 0.5000, 0.8348]]}

***

(5)
{"formula": "La2Pr2Dy", "functional": "PBE", "state": "optimized geometry", "density_g_cm3": 6.659, "energy_ev_per_atom": -4.77, "lattice": [[6.4639, 0.0000, 0.0000], [0.0000, 5.9662, 0.0000], [-3.2318, 0.0000, 9.3393]], "species": ["La", "La", "La", "La", "Pr", "Pr", "Pr", "Pr", "Dy", "Dy"], "fractional_positions": [[0.0370, 0.2500, 0.3992], [0.2338, 0.2500, 0.8004], [0.7662, 0.7500, 0.1996], [0.9630, 0.7500, 0.6008], [0.1692, 0.7500, 0.0010], [0.3671, 0.7500, 0.3983], [0.6329, 0.2500, 0.6017], [0.8308, 0.2500, 0.9990], [0.4343, 0.2500, 0.1995], [0.5657, 0.7500, 0.8005]]}

***

(6)
{"formula": "La6Pr4Dy", "functional": "PBE", "state": "optimized geometry", "density_g_cm3": 6.500, "energy_ev_per_atom": -4.61, "lattice": [[-3.4418, 3.4418, 8.4079], [3.4418, -3.4418, 8.4079], [3.4418, 3.4418, -8.4079]], "species": ["La", "La", "La", "La", "La", "La", "Pr", "Pr", "Pr", "Pr", "Dy"], "fractional_positions": [[0.0000, 0.5000, 0.5000], [0.2254, 0.2254, 0.6818], [0.4564, 0.7746, 0.0000], [0.5000, 0.0000, 0.5000], [0.5436, 0.5436, 0.3182], [0.7746, 0.4564, 0.0000], [0.0032, 0.0032, 0.6375], [0.3657, 0.3657, 0.3625], [0.6343, 0.9968, 0.0000], [0.9968, 0.6343, 0.0000], [0.0000, 0.0000, 0.0000]]}

***

(7)
{"formula": "LaPr2Dy4", "functional": "PBE", "state": "optimized geometry", "density_g_cm3": 7.199, "energy_ev_per_atom": -4.49, "lattice": [[6.9522, 0.0000, 0.0000], [2.0077, 6.7650, 0.0000], [0.0014, 0.0002, 10.5018]], "species": ["La", "La", "Pr", "Pr", "Pr", "Pr", "Dy", "Dy", "Dy", "Dy", "Dy", "Dy", "Dy", "Dy"], "fractional_positions": [[0.0000, 0.0000, 0.0000], [0.5000, 0.0000, 0.0000], [0.0000, 0.0000, 0.5000], [0.0000, 0.5000, 0.0000], [0.0000, 0.5000, 0.5000], [0.5000, 0.5000, 0.5000], [0.2688, 0.6887, 0.7793], [0.2700, 0.1892, 0.7171], [0.2703, 0.6886, 0.2202], [0.2716, 0.1890, 0.2834], [0.7284, 0.8110, 0.7166], [0.7297, 0.3114, 0.7798], [0.7300, 0.8108, 0.2829], [0.7312, 0.3113, 0.2207]]}

***

(8)
{"formula": "La2Pr3Dy6", "functional": "PBE", "state": "optimized geometry", "density_g_cm3": 7.110, "energy_ev_per_atom": -4.46, "lattice": [[-2.4171, 2.4171, 16.7439], [2.4171, -2.4171, 16.7439], [2.4171, 2.4171, -16.7439]], "species": ["La", "La", "Pr", "Pr", "Pr", "Dy", "Dy", "Dy", "Dy", "Dy", "Dy"], "fractional_positions": [[0.0461, 0.0461, 0.0000], [0.9539, 0.9539, 0.0000], [0.2953, 0.2953, 0.0000], [0.5000, 0.5000, 0.0000], [0.7047, 0.7047, 0.0000], [0.1212, 0.6212, 0.5000], [0.1917, 0.1917, 0.0000], [0.3788, 0.8788, 0.5000], [0.6212, 0.1212, 0.5000], [0.8083, 0.8083, 0.0000], [0.8788, 0.3788, 0.5000]]}

***

(9)
{"formula": "La2PrDy4", "functional": "PBE", "state": "optimized geometry", "density_g_cm3": 7.230, "energy_ev_per_atom": -4.49, "lattice": [[4.6395, 0.0000, 0.0000], [0.0000, 4.6395, 0.0000], [0.0000, 0.0000, 22.8075]], "species": ["La", "La", "La", "La", "Pr", "Pr", "Dy", "Dy", "Dy", "Dy", "Dy", "Dy", "Dy", "Dy"], "fractional_positions": [[0.0000, 0.0000, 0.1001], [0.0000, 0.0000, 0.8999], [0.5000, 0.5000, 0.3999], [0.5000, 0.5000, 0.6001], [0.0000, 0.0000, 0.5000], [0.5000, 0.5000, 0.0000], [0.0000, 0.0000, 0.3591], [0.0000, 0.0000, 0.6409], [0.0000, 0.5000, 0.2500], [0.0000, 0.5000, 0.7500], [0.5000, 0.0000, 0.2500], [0.5000, 0.0000, 0.7500], [0.5000, 0.5000, 0.1409], [0.5000, 0.5000, 0.8591]]}

***

(10)
{"formula": "La12PrDy7", "functional": "PBE", "state": "optimized geometry", "density_g_cm3": 6.975, "energy_ev_per_atom": -4.72, "lattice": [[6.8540, 3.9572, 4.3090], [-6.8540, 3.9572, 4.3090], [0.0000, -7.9143, 4.3090]], "species": ["La", "La", "La", "La", "La", "La", "La", "La", "La", "La", "La", "La", "Pr", "Dy", "Dy", "Dy", "Dy", "Dy", "Dy", "Dy"], "fractional_positions": [[0.0000, 0.2603, 0.7397], [0.0000, 0.7397, 0.2603], [0.1449, 0.1449, 0.4127], [0.1449, 0.4127, 0.1449], [0.2603, 0.0000, 0.7397], [0.2603, 0.7397, 0.0000], [0.4127, 0.1449, 0.1449], [0.5873, 0.8551, 0.8551], [0.7397, 0.0000, 0.2603], [0.7397, 0.2603, 0.0000], [0.8551, 0.5873, 0.8551], [0.8551, 0.8551, 0.5873], [0.5000, 0.5000, 0.5000], [0.0000, 0.0000, 0.0000], [0.1633, 0.5946, 0.5946], [0.4054, 0.4054, 0.8367], [0.4054, 0.8367, 0.4054], [0.5946, 0.1633, 0.5946], [0.5946, 0.5946, 0.1633], [0.8367, 0.4054, 0.4054]]}

***

(11)
{"formula": "LaPr8Dy5", "functional": "PBE", "state": "optimized geometry", "density_g_cm3": 6.961, "energy_ev_per_atom": -4.57, "lattice": [[8.6815, 0.0000, 0.0000], [-3.9135, 7.7520, 0.0000], [-1.3501, -4.4953, 7.3685]], "species": ["La", "Pr", "Pr", "Pr", "Pr", "Pr", "Pr", "Pr", "Pr", "Dy", "Dy", "Dy", "Dy", "Dy"], "fractional_positions": [[0.0000, 0.0000, 0.0000], [0.3297, 0.0338, 0.7093], [0.3674, 0.2733, 0.3728], [0.5150, 0.7217, 0.7831], [0.5390, 0.9412, 0.4106], [0.6501, 0.2184, 0.1684], [0.8020, 0.7357, 0.5348], [0.9157, 0.2857, 0.9168], [0.9486, 0.7381, 0.2162], [0.0635, 0.2325, 0.5846], [0.1398, 0.5236, 0.3885], [0.2056, 0.7358, 0.9431], [0.4188, 0.4799, 0.0592], [0.7227, 0.4572, 0.7429]]}

***

(12)
{"formula": "LaPrDy2", "functional": "PBE", "state": "optimized geometry", "density_g_cm3": 6.591, "energy_ev_per_atom": -4.29, "lattice": [[6.1617, 0.0000, 0.0000], [0.0000, 5.5712, 0.0000], [-1.2184, 0.0000, 8.8772]], "species": ["La", "La", "Pr", "Pr", "Dy", "Dy", "Dy", "Dy"], "fractional_positions": [[0.0000, 0.0000, 0.0000], [0.5000, 0.5000, 0.5000], [0.1027, 0.5000, 0.7112], [0.8973, 0.5000, 0.2888], [0.2421, 0.0000, 0.3945], [0.3421, 0.5000, 0.1278], [0.6579, 0.5000, 0.8722], [0.7579, 0.0000, 0.6055]]}

***

(13)
{"formula": "LaPr2Dy12", "functional": "PBE", "state": "optimized geometry", "density_g_cm3": 7.838, "energy_ev_per_atom": -4.48, "lattice": [[3.5284, -5.6788, 0.0000], [3.5284, 5.6788, 0.0000], [0.0000, 0.0000, 25.0653]], "species": ["La", "La", "Pr", "Pr", "Pr", "Pr", "Dy", "Dy", "Dy", "Dy", "Dy", "Dy", "Dy", "Dy", "Dy", "Dy", "Dy", "Dy", "Dy", "Dy", "Dy", "Dy", "Dy", "Dy", "Dy", "Dy", "Dy", "Dy", "Dy", "Dy"], "fractional_positions": [[0.2500, 0.7500, 0.0004], [0.7500, 0.2500, 0.9996], [0.2500, 0.7500, 0.2733], [0.2500, 0.7500, 0.7320], [0.7500, 0.2500, 0.2680], [0.7500, 0.2500, 0.7267], [0.0010, 0.5010, 0.1303], [0.0010, 0.9990, 0.9184], [0.0104, 0.5104, 0.5830], [0.0123, 0.9877, 0.4391], [0.2500, 0.2500, 0.2015], [0.2500, 0.2500, 0.3293], [0.2500, 0.2500, 0.6707], [0.2500, 0.2500, 0.7985], [0.4877, 0.5123, 0.4391], [0.4896, 0.9896, 0.5830], [0.4990, 0.5010, 0.9184], [0.4990, 0.9990, 0.1303], [0.5010, 0.0010, 0.8697], [0.5010, 0.4990, 0.0816], [0.5104, 0.0104, 0.4170], [0.5123, 0.4877, 0.5609], [0.7500, 0.7500, 0.2015], [0.7500, 0.7500, 0.3293], [0.7500, 0.7500, 0.6707], [0.7500, 0.7500, 0.7985], [0.9877, 0.0123, 0.5609], [0.9896, 0.4896, 0.4170], [0.9990, 0.0010, 0.0816], [0.9990, 0.4990, 0.8697]]}

***

(14)
{"formula": "La2Pr9Dy", "functional": "PBE", "state": "optimized geometry", "density_g_cm3": 6.573, "energy_ev_per_atom": -4.78, "lattice": [[5.2394, 0.0000, 0.0000], [0.0000, 5.2394, 0.0000], [0.0000, 0.0000, 15.7232]], "species": ["La", "La", "Pr", "Pr", "Pr", "Pr", "Pr", "Pr", "Pr", "Pr", "Pr", "Dy"], "fractional_positions": [[0.0000, 0.0000, 0.1677], [0.0000, 0.0000, 0.8323], [0.0000, 0.5000, 0.0000], [0.0000, 0.5000, 0.3362], [0.0000, 0.5000, 0.6638], [0.5000, 0.0000, 0.0000], [0.5000, 0.0000, 0.3362], [0.5000, 0.0000, 0.6638], [0.5000, 0.5000, 0.1685], [0.5000, 0.5000, 0.5000], [0.5000, 0.5000, 0.8315], [0.0000, 0.0000, 0.5000]]}

***

(15)
{"formula": "La3Pr8Dy4", "functional": "PBE", "state": "optimized geometry", "density_g_cm3": 6.809, "energy_ev_per_atom": -4.46, "lattice": [[7.0444, -6.2025, 0.0000], [7.0444, 6.2025, 0.0000], [-3.4021, 0.0000, 6.1228]], "species": ["La", "La", "La", "Pr", "Pr", "Pr", "Pr", "Pr", "Pr", "Pr", "Pr", "Dy", "Dy", "Dy", "Dy"], "fractional_positions": [[0.0000, 0.0000, 0.0000], [0.0000, 0.5000, 0.5000], [0.5000, 0.0000, 0.5000], [0.2041, 0.2041, 0.6736], [0.2065, 0.7935, 0.5000], [0.2528, 0.7472, 0.0000], [0.2540, 0.2540, 0.1959], [0.7460, 0.7460, 0.8041], [0.7472, 0.2528, 0.0000], [0.7935, 0.2065, 0.5000], [0.7959, 0.7959, 0.3264], [0.0000, 0.5000, 0.0000], [0.5000, 0.0000, 0.0000], [0.5000, 0.5000, 0.0000], [0.5000, 0.5000, 0.5000]]}

***

(16)
{"formula": "La5Pr2Dy2", "functional": "PBE", "state": "optimized geometry", "density_g_cm3": 6.822, "energy_ev_per_atom": -4.64, "lattice": [[-7.5549, 6.0086, 3.4889], [7.5549, -6.0086, 3.4889], [7.5549, 6.0086, -3.4889]], "species": ["La", "La", "La", "La", "La", "La", "La", "La", "La", "La", "Pr", "Pr", "Pr", "Pr", "Dy", "Dy", "Dy", "Dy"], "fractional_positions": [[0.0644, 0.4830, 0.8714], [0.0644, 0.6930, 0.0815], [0.0827, 0.0729, 0.5098], [0.2318, 0.0507, 0.2825], [0.2318, 0.4493, 0.6810], [0.5630, 0.5729, 0.4902], [0.6115, 0.1930, 0.1286], [0.6115, 0.9830, 0.9185], [0.7682, 0.5507, 0.3190], [0.7682, 0.9493, 0.7175], [0.6301, 0.8810, 0.2491], [0.6320, 0.3810, 0.7509], [0.6440, 0.1440, 0.5000], [0.6440, 0.6440, 0.0000], [0.1627, 0.3001, 0.1200], [0.1627, 0.5428, 0.3627], [0.1801, 0.0428, 0.8800], [0.1801, 0.8001, 0.6373]]}

***

(17)
{"formula": "La8Pr5Dy", "functional": "PBE", "state": "optimized geometry", "density_g_cm3": 6.346, "energy_ev_per_atom": -4.64, "lattice": [[-4.9966, 4.9966, 5.1836], [4.9966, -4.9966, 5.1836], [4.9966, 4.9966, -5.1836]], "species": ["La", "La", "La", "La", "La", "La", "La", "La", "Pr", "Pr", "Pr", "Pr", "Pr", "Dy"], "fractional_positions": [[0.1829, 0.4154, 0.6088], [0.3271, 0.2261, 0.2380], [0.4259, 0.8171, 0.2325], [0.5846, 0.1934, 0.7675], [0.7739, 0.0120, 0.1010], [0.8066, 0.5741, 0.3912], [0.9109, 0.6729, 0.8990], [0.9880, 0.0891, 0.7620], [0.0710, 0.4679, 0.1917], [0.1207, 0.9290, 0.3969], [0.2762, 0.8793, 0.8083], [0.5321, 0.7238, 0.6031], [0.7500, 0.2500, 0.5000], [0.5000, 0.5000, 0.0000]]}

***

(18)
{"formula": "La4Pr5Dy2", "functional": "PBE", "state": "optimized geometry", "density_g_cm3": 6.693, "energy_ev_per_atom": -4.73, "lattice": [[9.0746, -1.8116, 0.0000], [9.0746, 1.8116, 0.0000], [-0.8863, 0.0000, 11.9606]], "species": ["La", "La", "La", "La", "Pr", "Pr", "Pr", "Pr", "Pr", "Dy", "Dy"], "fractional_positions": [[0.0407, 0.0407, 0.2636], [0.3582, 0.3582, 0.2045], [0.6418, 0.6418, 0.7955], [0.9593, 0.9593, 0.7364], [0.0962, 0.0962, 0.5394], [0.1789, 0.1789, 0.0747], [0.5000, 0.5000, 0.0000], [0.8211, 0.8211, 0.9253], [0.9038, 0.9038, 0.4606], [0.2831, 0.2831, 0.6363], [0.7169, 0.7169, 0.3637]]}

***

(19)
{"formula": "La12PrDy5", "functional": "PBE", "state": "optimized geometry", "density_g_cm3": 6.834, "energy_ev_per_atom": -4.82, "lattice": [[3.1973, -5.5384, 0.0000], [3.1973, 5.5384, 0.0000], [-2.1234, 0.0000, 17.9764]], "species": ["La", "La", "La", "La", "La", "La", "La", "La", "La", "La", "La", "La", "Pr", "Dy", "Dy", "Dy", "Dy", "Dy"], "fractional_positions": [[0.0548, 0.3907, 0.1658], [0.1133, 0.1133, 0.3373], [0.2202, 0.5539, 0.6627], [0.2809, 0.2809, 0.8343], [0.3907, 0.0548, 0.1658], [0.4461, 0.7798, 0.3373], [0.5539, 0.2202, 0.6627], [0.6093, 0.9452, 0.8342], [0.7191, 0.7191, 0.1657], [0.7798, 0.4461, 0.3373], [0.8867, 0.8867, 0.6627], [0.9452, 0.6093, 0.8342], [0.0000, 0.0000, 0.0000], [0.1666, 0.8334, 0.5000], [0.3333, 0.6667, 0.0000], [0.5000, 0.5000, 0.5000], [0.6667, 0.3333, 0.0000], [0.8334, 0.1666, 0.5000]]}